AcS14I | PBE | optimized geometry

Computed properties:
As for the space-group type: Imma. Its density of states at the Fermi level is 0.318 states/eV/atom. The electronic total energy is -130.969 eV/cell. The value obtained for the density is 2727 kg/m3. For the uncorrected formation energy, the calculation gives -12.3 kJ/mol of atoms.

Cell: 11.0578 11.0578 11.0578 Å, 125.04 97.90 106.76°
Fractional positions:
S1 0.7901 0.6317 0.1584
S2 0.6738 0.1219 0.0791
S3 0.7470 0.1076 0.6394
S4 0.9732 0.1317 0.8416
S5 0.0268 0.8683 0.1584
S6 0.4572 0.9053 0.0791
S7 0.4572 0.3781 0.5519
S8 0.0614 0.8014 0.5955
S9 0.7059 0.3014 0.7399
S10 0.2941 0.6986 0.2601
S11 0.3262 0.4053 0.4481
S12 0.0318 0.3924 0.6394
S13 0.2941 0.0341 0.5955
S14 0.5428 0.6219 0.4481
S15 0.9682 0.6076 0.3606
S16 0.3262 0.8781 0.9209
S17 0.7059 0.9659 0.4045
S18 0.5428 0.0947 0.9209
S19 0.2530 0.8924 0.3606
S20 0.6912 0.6666 0.0246
S21 0.1419 0.1666 0.9754
S22 0.3088 0.3334 0.9754
S23 0.9386 0.1986 0.4045
S24 0.0614 0.4659 0.2601
S25 0.2099 0.3683 0.8416
S26 0.9386 0.5341 0.7399
S27 0.8581 0.8334 0.0246
S28 0.6738 0.5947 0.5519
I1 0.4156 0.7500 0.6656
I2 0.5844 0.2500 0.3344
Ac1 0.0000 0.0000 0.5000
Ac2 0.0000 0.5000 0.0000